Record 1
A plane-wave DFT calculation with PBE-GGA was carried out for a relaxed structure of VZnS2N.

a = 4.690 Å, b = 4.690 Å, c = 3.646 Å
α = 90.00°, β = 90.00°, γ = 90.00°
Space group P4/mmm (No. 123)
Unique sites:
V  0.000  0.000  0.000 x1
Zn  0.500  0.500  0.500 x1
S  0.000  0.500  0.500 x2
N  0.500  0.500  0.000 x1

## Properties
D(E_F): 5.9 states/eV/f.u.
Calculated volume: 80.2 Å³ per cell
E: -4.32 eV per atom
Distance to the lowest polymorph of the same formula: 1041.5 meV per atom
ΔE_f (raw): 1076 meV/atom



Record 2
A plane-wave DFT calculation with PBE-GGA was carried out for a relaxed structure of CsAc2CdTe4.

a = 4.936 Å, b = 16.326 Å, c = 16.593 Å
α = 90.00°, β = 90.00°, γ = 90.00°
Space group Cmcm (No. 63)
Unique sites:
Cs  0.000  0.120  0.250 x4
Ac  0.000  0.374  0.056 x8
Cd  0.000  0.152  0.750 x4
Te  0.000  0.000  0.000 x4
Te  0.000  0.260  0.610 x8
Te  0.000  0.438  0.250 x4

## Properties
D(E_F): 2.3 states/eV/f.u.
Calculated volume: 1337.1 Å³ per cell
E: -4.02 eV per atom
ΔE_f (raw): -1204 meV/atom



Record 3
A plane-wave DFT calculation with PBE-GGA was carried out for a relaxed structure of BeTeWN2.

a = 3.747 Å, b = 3.747 Å, c = 4.805 Å
α = 90.00°, β = 90.00°, γ = 90.00°
Space group P4/mmm (No. 123)
Unique sites:
Be  0.000  0.000  0.000 x1
Te  0.000  0.000  0.500 x1
W  0.500  0.500  0.500 x1
N  0.000  0.500  0.000 x2

## Properties
D(E_F): 5.2 states/eV/f.u.
Calculated volume: 67.5 Å³ per cell
E: -5.50 eV per atom
Distance to the lowest polymorph of the same formula: 1237.4 meV per atom
ΔE_f (raw): 1796 meV/atom



Record 4
A plane-wave DFT calculation with PBE-GGA was carried out for a relaxed structure of La5Tl2In.

a = 12.039 Å, b = 7.251 Å, c = 7.251 Å
α = 90.00°, β = 127.04°, γ = 90.00°
Space group Cm (No. 8)
Unique sites:
La  0.000  0.000  0.000 x2
La  0.248  0.251  0.499 x4
La  0.250  0.250  0.999 x4
Tl  0.499  0.000  0.997 x2
Tl  0.499  0.500  0.500 x2
In  0.498  0.000  0.500 x2

## Properties
D(E_F): 8.1 states/eV/f.u.
Calculated volume: 505.3 Å³ per cell
Energy relative to the elements: -0.3227 eV per atom
E: -4.34 eV per atom